1.
{"formula": "RuRh", "functional": "meta-GGA SCAN", "state": "PBEsol geometry", "lattice": [[3.7641, 0.0000, 0.0000], [-1.8821, 3.2598, 0.0000], [0.0000, 0.0000, 5.1253]], "species": ["Ru", "Ru", "Rh", "Rh"], "frac_coords": [[0.0000, 0.0000, 0.0000], [0.0000, 0.0000, 0.5000], [0.3333, 0.6667, 0.2500], [0.6667, 0.3333, 0.7500]], "formation_energy_mev_per_atom": 802, "dos_ef_per_ev_atom": 1.201, "e_tot_ev_per_atom": -33.50}

***

2.
{"formula": "Li2ReAu", "functional": "meta-GGA SCAN", "state": "PBEsol geometry", "lattice": [[1.3533, 0.7813, 9.1865], [-1.3533, 0.7813, 9.1865], [0.0000, -1.5626, 9.1865]], "species": ["Li", "Li", "Re", "Au"], "frac_coords": [[0.2504, 0.2504, 0.2504], [0.7496, 0.7496, 0.7496], [0.0000, 0.0000, 0.0000], [0.5000, 0.5000, 0.5000]], "formation_energy_mev_per_atom": -65, "dos_ef_per_ev_atom": 0.395, "e_tot_ev_per_atom": -36.32, "e_above_lowest_polymorph_mev_per_atom": 0}

***

3.
{"formula": "K2AlRe", "functional": "meta-GGA SCAN", "state": "PBEsol geometry", "lattice": [[2.8577, 0.0000, 0.0000], [0.0000, 4.8268, 0.0000], [0.0000, 0.0000, 5.9353]], "species": ["K", "K", "Al", "Re"], "frac_coords": [[0.0000, 0.0000, 0.0000], [0.5000, 0.5000, 0.0000], [0.0000, 0.5000, 0.5000], [0.5000, 0.0000, 0.5000]], "formation_energy_mev_per_atom": 1065, "dos_ef_per_ev_atom": 0.605, "e_tot_ev_per_atom": -22.81}

***

4.
{"formula": "Li2TlIn", "functional": "meta-GGA SCAN", "state": "PBEsol geometry", "lattice": [[-2.3980, 2.3980, 3.5392], [2.3980, -2.3980, 3.5392], [2.3980, 2.3980, -3.5392]], "species": ["Li", "Li", "Tl", "In"], "frac_coords": [[0.0000, 0.0000, 0.0000], [0.7500, 0.2500, 0.5000], [0.5000, 0.5000, 0.0000], [0.2500, 0.7500, 0.5000]], "formation_energy_mev_per_atom": -329, "dos_ef_per_ev_atom": 0.112, "e_tot_ev_per_atom": -27.96}

***

5.
{"formula": "MgNiAu2", "functional": "meta-GGA SCAN", "state": "PBEsol geometry", "lattice": [[-2.0219, 2.0219, 3.6874], [2.0219, -2.0219, 3.6874], [2.0219, 2.0219, -3.6874]], "species": ["Mg", "Ni", "Au", "Au"], "frac_coords": [[0.0000, 0.0000, 0.0000], [0.5000, 0.5000, 0.0000], [0.2500, 0.7500, 0.5000], [0.7500, 0.2500, 0.5000]], "formation_energy_mev_per_atom": -336, "dos_ef_per_ev_atom": 0.498, "e_tot_ev_per_atom": -40.20}

***

6.
{"formula": "LiHf3O", "functional": "meta-GGA SCAN", "state": "PBEsol geometry", "lattice": [[4.3585, 0.0000, 0.0000], [0.0000, 4.3585, 0.0000], [0.0000, 0.0000, 4.3585]], "species": ["Li", "Hf", "Hf", "Hf", "O"], "frac_coords": [[0.0000, 0.0000, 0.0000], [0.0000, 0.5000, 0.5000], [0.5000, 0.0000, 0.5000], [0.5000, 0.5000, 0.0000], [0.5000, 0.5000, 0.5000]], "dos_ef_per_ev_atom": 0.537, "e_tot_ev_per_atom": -40.20, "e_form_raw_ev_per_atom": -0.87}

***

7.
{"formula": "SiSbS3", "functional": "meta-GGA SCAN", "state": "PBEsol geometry", "lattice": [[4.9177, 0.0000, 0.0000], [0.0000, 4.9177, 0.0000], [0.0000, 0.0000, 4.9177]], "species": ["Si", "Sb", "S", "S", "S"], "frac_coords": [[0.0000, 0.0000, 0.0000], [0.5000, 0.5000, 0.5000], [0.0000, 0.5000, 0.5000], [0.5000, 0.0000, 0.5000], [0.5000, 0.5000, 0.0000]], "dos_ef_per_ev_atom": 0.665, "e_tot_ev_per_atom": -14.47, "e_form_raw_ev_per_atom": 0.76}

***

8.
{"formula": "VCl5", "functional": "meta-GGA SCAN", "state": "PBEsol geometry", "lattice": [[6.0767, 0.0000, 0.0000], [-2.8823, 5.8644, 0.0000], [-0.1160, -3.2692, 8.1742]], "species": ["V", "V", "Cl", "Cl", "Cl", "Cl", "Cl", "Cl", "Cl", "Cl", "Cl", "Cl"], "frac_coords": [[0.1047, 0.2201, 0.2224], [0.8953, 0.7799, 0.7776], [0.0751, 0.8223, 0.5737], [0.1165, 0.6277, 0.8508], [0.2323, 0.1798, 0.9562], [0.2980, 0.0121, 0.2455], [0.4342, 0.5678, 0.3264], [0.5658, 0.4322, 0.6736], [0.7020, 0.9879, 0.7545], [0.7677, 0.8202, 0.0438], [0.8835, 0.3723, 0.1492], [0.9249, 0.1777, 0.4263]], "e_tot_ev_per_atom": -10.66, "e_form_raw_ev_per_atom": -1.10}

***

9.
{"formula": "Tl2ZnTe", "functional": "meta-GGA SCAN", "state": "PBEsol geometry", "lattice": [[4.1984, 0.0000, 0.0000], [0.0000, 4.0335, 0.0000], [-2.0380, 0.0000, 6.4284]], "species": ["Tl", "Tl", "Zn", "Te"], "frac_coords": [[0.0000, 0.0000, 0.0000], [0.3299, 0.5000, 0.6688], [0.5715, 0.5000, 0.1453], [0.7115, 0.0000, 0.4275]], "dos_ef_per_ev_atom": 0.321, "e_tot_ev_per_atom": -48.92, "e_form_raw_ev_per_atom": -0.05, "e_above_lowest_polymorph_mev_per_atom": 0}

***

10.
{"formula": "Ca2MgBiPt", "functional": "meta-GGA SCAN", "state": "PBEsol geometry", "lattice": [[5.7882, 0.0000, 0.0000], [0.0000, 5.7882, 0.0000], [0.0000, 0.0000, 5.1934]], "species": ["Ca", "Ca", "Mg", "Bi", "Pt"], "frac_coords": [[0.0000, 0.5000, 0.0000], [0.5000, 0.0000, 0.0000], [0.0000, 0.0000, 0.5000], [0.0000, 0.0000, 0.0000], [0.5000, 0.5000, 0.5000]], "formation_energy_mev_per_atom": 232, "dos_ef_per_ev_atom": 0.551, "e_tot_ev_per_atom": -34.38}

***

11.
{"formula": "LiB2RhW", "functional": "meta-GGA SCAN", "state": "PBEsol geometry", "lattice": [[3.9154, 0.0000, 0.0000], [0.0000, 3.9154, 0.0000], [0.0000, 0.0000, 3.8506]], "species": ["Li", "B", "B", "Rh", "W"], "frac_coords": [[0.0000, 0.0000, 0.0000], [0.0000, 0.5000, 0.5000], [0.5000, 0.0000, 0.5000], [0.0000, 0.0000, 0.5000], [0.5000, 0.5000, 0.0000]], "formation_energy_mev_per_atom": 1241, "dos_ef_per_ev_atom": 0.548, "e_tot_ev_per_atom": -22.90}

***

12.
{"formula": "HgIr3", "functional": "meta-GGA SCAN", "state": "PBEsol geometry", "lattice": [[4.7432, 0.0000, 0.0000], [0.0000, 4.7432, 0.0000], [0.0000, 0.0000, 2.7604]], "species": ["Hg", "Ir", "Ir", "Ir"], "frac_coords": [[0.0000, 0.0000, 0.0000], [0.0000, 0.5000, 0.5000], [0.5000, 0.0000, 0.5000], [0.5000, 0.5000, 0.0000]], "formation_energy_mev_per_atom": 695, "dos_ef_per_ev_atom": 1.286, "e_tot_ev_per_atom": -69.67}

***

13.
{"formula": "CdAg2Hg", "functional": "meta-GGA SCAN", "state": "PBEsol geometry", "lattice": [[2.9794, 0.0000, 0.0000], [0.0000, 4.7465, 0.0000], [0.0000, 0.0000, 5.1832]], "species": ["Cd", "Ag", "Ag", "Hg"], "frac_coords": [[0.0000, 0.0000, 0.0000], [0.5000, 0.0000, 0.5131], [0.5000, 0.5000, 0.8417], [0.0000, 0.5000, 0.3470]], "formation_energy_mev_per_atom": -2, "dos_ef_per_ev_atom": 0.241, "e_tot_ev_per_atom": -40.33, "e_above_lowest_polymorph_mev_per_atom": 9}

***

14.
{"formula": "Zr2BeC", "functional": "meta-GGA SCAN", "state": "PBEsol geometry", "lattice": [[0.0000, 3.0063, 3.0063], [3.0063, 0.0000, 3.0063], [3.0063, 3.0063, 0.0000]], "species": ["Zr", "Zr", "Be", "C"], "frac_coords": [[0.2500, 0.2500, 0.2500], [0.7500, 0.7500, 0.7500], [0.0000, 0.0000, 0.0000], [0.5000, 0.5000, 0.5000]], "formation_energy_mev_per_atom": 460, "dos_ef_per_ev_atom": 0.862, "e_tot_ev_per_atom": -18.50}

***

15.
{"formula": "Ti2NbSi2", "functional": "meta-GGA SCAN", "state": "PBEsol geometry", "lattice": [[6.6779, 0.0000, 0.0000], [0.0000, 6.6779, 0.0000], [0.0000, 0.0000, 3.3702]], "species": ["Ti", "Ti", "Ti", "Ti", "Nb", "Nb", "Si", "Si", "Si", "Si"], "frac_coords": [[0.1730, 0.3270, 0.0000], [0.3270, 0.8270, 0.0000], [0.6730, 0.1730, 0.0000], [0.8270, 0.6730, 0.0000], [0.0000, 0.0000, 0.5000], [0.5000, 0.5000, 0.5000], [0.1260, 0.6260, 0.5000], [0.3740, 0.1260, 0.5000], [0.6260, 0.8740, 0.5000], [0.8740, 0.3740, 0.5000]], "dos_ef_per_ev_atom": 0.437, "e_tot_ev_per_atom": -17.82, "e_form_raw_ev_per_atom": -0.77}

***

16.
{"formula": "KRe2Ni", "functional": "meta-GGA SCAN", "state": "PBEsol geometry", "lattice": [[2.9683, 0.0000, 0.0000], [0.0000, 2.9683, 0.0000], [0.0000, 0.0000, 8.4252]], "species": ["K", "Re", "Re", "Ni"], "frac_coords": [[0.0000, 0.0000, 0.0000], [0.0000, 0.0000, 0.4746], [0.5000, 0.5000, 0.6449], [0.5000, 0.5000, 0.2954]], "formation_energy_mev_per_atom": 729, "dos_ef_per_ev_atom": 0.539, "e_tot_ev_per_atom": -40.95, "e_above_lowest_polymorph_mev_per_atom": 0}

***

17.
{"formula": "TlPPb", "functional": "meta-GGA SCAN", "state": "PBEsol geometry", "lattice": [[5.0857, 0.0000, 0.0000], [-2.5428, 4.4043, 0.0000], [0.0000, 0.0000, 3.2838]], "species": ["Tl", "P", "Pb"], "frac_coords": [[0.0000, 0.0000, 0.0000], [0.3333, 0.6667, 0.6200], [0.6667, 0.3333, 0.4822]], "formation_energy_mev_per_atom": 357, "dos_ef_per_ev_atom": 0.395, "e_tot_ev_per_atom": -52.49, "e_above_lowest_polymorph_mev_per_atom": 309}

***

18.
{"formula": "Ca3CuSb", "functional": "meta-GGA SCAN", "state": "PBEsol geometry", "lattice": [[5.3027, 0.0000, 0.0000], [0.0000, 5.3027, 0.0000], [0.0000, 0.0000, 5.3027]], "species": ["Ca", "Ca", "Ca", "Cu", "Sb"], "frac_coords": [[0.0000, 0.0000, 0.5000], [0.0000, 0.5000, 0.0000], [0.5000, 0.0000, 0.0000], [0.0000, 0.0000, 0.0000], [0.5000, 0.5000, 0.5000]], "dos_ef_per_ev_atom": 0.920, "e_tot_ev_per_atom": -16.55, "e_form_raw_ev_per_atom": -0.26}

***

19.
{"formula": "Rb3P6N11", "functional": "meta-GGA SCAN", "state": "PBEsol geometry", "lattice": [[10.5216, 0.0000, 0.0000], [0.0000, 10.5216, 0.0000], [0.0000, 0.0000, 10.5216]], "species": ["Rb", "Rb", "Rb", "Rb", "Rb", "Rb", "Rb", "Rb", "Rb", "Rb", "Rb", "Rb", "P", "P", "P", "P", "P", "P", "P", "P", "P", "P", "P", "P", "P", "P", "P", "P", "P", "P", "P", "P", "P", "P", "P", "P", "N", "N", "N", "N", "N", "N", "N", "N", "N", "N", "N", "N", "N", "N", "N", "N", "N", "N", "N", "N", "N", "N", "N", "N", "N", "N", "N", "N", "N", "N", "N", "N", "N", "N", "N", "N", "N", "N", "N", "N", "N", "N", "N", "N"], "frac_coords": [[0.0089, 0.4911, 0.5089], [0.1250, 0.6250, 0.8750], [0.2411, 0.2589, 0.7411], [0.2589, 0.7411, 0.2411], [0.3750, 0.3750, 0.3750], [0.4911, 0.5089, 0.0089], [0.5089, 0.0089, 0.4911], [0.6250, 0.8750, 0.1250], [0.7411, 0.2411, 0.2589], [0.7589, 0.7589, 0.7589], [0.8750, 0.1250, 0.6250], [0.9911, 0.9911, 0.9911], [0.0394, 0.8211, 0.5484], [0.0484, 0.4606, 0.1789], [0.0711, 0.2106, 0.2984], [0.1789, 0.0484, 0.4606], [0.2016, 0.9289, 0.7106], [0.2106, 0.2984, 0.0711], [0.2894, 0.7016, 0.5711], [0.2984, 0.0711, 0.2106], [0.3211, 0.9516, 0.9606], [0.4289, 0.7894, 0.7984], [0.4516, 0.5394, 0.6789], [0.4606, 0.1789, 0.0484], [0.5394, 0.6789, 0.4516], [0.5484, 0.0394, 0.8211], [0.5711, 0.2894, 0.7016], [0.6789, 0.4516, 0.5394], [0.7016, 0.5711, 0.2894], [0.7106, 0.2016, 0.9289], [0.7894, 0.7984, 0.4289], [0.7984, 0.4289, 0.7894], [0.8211, 0.5484, 0.0394], [0.9289, 0.7106, 0.2016], [0.9516, 0.9606, 0.3211], [0.9606, 0.3211, 0.9516], [0.0114, 0.3482, 0.2771], [0.0271, 0.5982, 0.2386], [0.0496, 0.9504, 0.4504], [0.0569, 0.8750, 0.6931], [0.0982, 0.2614, 0.9729], [0.1250, 0.1931, 0.4431], [0.1518, 0.7229, 0.5114], [0.1931, 0.4431, 0.1250], [0.2004, 0.2004, 0.2004], [0.2229, 0.9886, 0.8482], [0.2386, 0.0271, 0.5982], [0.2614, 0.9729, 0.0982], [0.2771, 0.0114, 0.3482], [0.2996, 0.7996, 0.7004], [0.3069, 0.5569, 0.6250], [0.3482, 0.2771, 0.0114], [0.3750, 0.8069, 0.9431], [0.4018, 0.7386, 0.4729], [0.4431, 0.1250, 0.1931], [0.4504, 0.0496, 0.9504], [0.4729, 0.4018, 0.7386], [0.4886, 0.6518, 0.7771], [0.5114, 0.1518, 0.7229], [0.5271, 0.9018, 0.7614], [0.5496, 0.5496, 0.5496], [0.5569, 0.6250, 0.3069], [0.5982, 0.2386, 0.0271], [0.6250, 0.3069, 0.5569], [0.6518, 0.7771, 0.4886], [0.6931, 0.0569, 0.8750], [0.7004, 0.2996, 0.7996], [0.7229, 0.5114, 0.1518], [0.7386, 0.4729, 0.4018], [0.7614, 0.5271, 0.9018], [0.7771, 0.4886, 0.6518], [0.7996, 0.7004, 0.2996], [0.8069, 0.9431, 0.3750], [0.8482, 0.2229, 0.9886], [0.8750, 0.6931, 0.0569], [0.9018, 0.7614, 0.5271], [0.9431, 0.3750, 0.8069], [0.9504, 0.4504, 0.0496], [0.9729, 0.0982, 0.2614], [0.9886, 0.8482, 0.2229]], "dos_ef_per_ev_atom": 0.000, "e_tot_ev_per_atom": -12.21, "e_form_raw_ev_per_atom": -0.87}

***

20.
{"formula": "TlFeTc2", "functional": "meta-GGA SCAN", "state": "PBEsol geometry", "lattice": [[2.8709, 0.0000, 0.0000], [0.0000, 2.8709, 0.0000], [0.0000, 0.0000, 7.4474]], "species": ["Tl", "Fe", "Tc", "Tc"], "frac_coords": [[0.0000, 0.0000, 0.0000], [0.5000, 0.5000, 0.2702], [0.0000, 0.0000, 0.4948], [0.5000, 0.5000, 0.7050]], "formation_energy_mev_per_atom": 384, "dos_ef_per_ev_atom": 0.799, "e_tot_ev_per_atom": -39.77, "e_above_lowest_polymorph_mev_per_atom": 0}